An optimized crystal structure of TlZnIn2. Source: the Alexandria database, functional PBE-GGA.

Properties
The value obtained for the spin magnetization is 0.0 μB/f.u. The formation energy comes out at 0.069 eV per atom. The value obtained for the calculated total energy is -26.53 eV per cell.

Cell: 3.5262 3.5262 28.6078 Å, 90.00 90.00 120.00°
With the nearest neighbours (Å) after each atom.
Space group R-3m (No. 166, hexagonal axes)
Asymmetric unit:
Tl  0.0000  0.0000  0.0000  6 In 3.36, 6 Tl 3.53
Zn  0.0000  0.0000  0.5000  6 In 2.92
In  0.0000  0.0000  0.2400  3 Zn 2.92